(1)
First-principles (PBE-GGA) data for crystalline Sr3PbN at its relaxed geometry, as listed in Alexandria via LeMat-Bulk.

a b c (Å): 17.6424 10.3574 10.3574
angles (deg): 105.54 138.12 41.88
Last column: nearest neighbours and their distance in Å.
Fractional coordinates of all 20 atoms:
Pb: 0.7500 0.1281 0.6281  8 Sr 3.58-3.64
Pb: 0.2500 0.8719 0.3719  8 Sr 3.58-3.64
Pb: 0.7500 0.6282 0.1282  8 Sr 3.58-3.64
Pb: 0.2500 0.3718 0.8718  8 Sr 3.58-3.64
Sr: 0.2449 0.2358 0.5065  1 N 2.40
Sr: 0.2551 0.0065 0.7358  1 N 2.40
Sr: 0.7551 0.7642 0.4935  1 N 2.40
Sr: 0.7449 0.9935 0.2642  1 N 2.40
Sr: 0.2450 0.5166 0.2256  1 N 2.40
Sr: 0.2550 0.7256 0.0166  1 N 2.40
Sr: 0.7550 0.4834 0.7744  1 N 2.40
Sr: 0.7450 0.2744 0.9834  1 N 2.40
Sr: 0.7108 0.9397 0.8612  2 N 2.48-2.49
Sr: 0.7892 0.3612 0.4397  2 N 2.48-2.49
Sr: 0.2892 0.0603 0.1388  2 N 2.48-2.49
Sr: 0.2108 0.6388 0.5603  2 N 2.48-2.49
N: 0.3139 0.3438 0.4716  4 Sr 2.40-2.49
N: 0.1861 0.9716 0.8438  4 Sr 2.40-2.49
N: 0.6861 0.6562 0.5284  4 Sr 2.40-2.49
N: 0.8139 0.0284 0.1562  4 Sr 2.40-2.49

Results
The value obtained for the calculated volume is 646 Å³/cell. For the mass density, the calculation gives 5.0 Mg/m³. The energy comes out at -19.6 eV per formula unit.


(2)
First-principles (PBE-GGA) data for crystalline LaTlHgPt at its relaxed geometry, as listed in Alexandria via LeMat-Bulk.

a b c (Å): 5.1772 5.1772 5.1772
angles (deg): 60.00 60.00 60.00
Last column: nearest neighbours and their distance in Å.
Fractional coordinates of all 4 atoms:
Tl: 0.0000 0.0000 0.0000  4 Pt 3.17, 4 Hg 3.17
Hg: 0.2500 0.2500 0.2500  4 Tl 3.17, 4 La 3.17
Pt: 0.7500 0.7500 0.7500  4 Tl 3.17, 4 La 3.17
La: 0.5000 0.5000 0.5000  4 Hg 3.17, 4 Pt 3.17

Results
For the formation energy from the elements, the calculation gives -527 meV per atom. The value obtained for the calculated volume is 98 Å³/cell. For the mass density, the calculation gives 12.5 Mg/m³.


(3)
First-principles (PBE-GGA) data for crystalline ReMo3 at its relaxed geometry, as listed in Alexandria via LeMat-Bulk.

a b c (Å): 4.4710 5.4478 5.4478
angles (deg): 70.57 90.00 90.00
Last column: nearest neighbours and their distance in Å.
Fractional coordinates of all 8 atoms:
Mo: 0.7500 0.1241 0.6260  4 Re 2.72-2.74, 4 Mo 2.72-2.73
Mo: 0.7500 0.1265 0.1265  8 Mo 2.72-2.73
Mo: 0.2500 0.3740 0.8759  4 Re 2.72-2.74, 4 Mo 2.72-2.73
Mo: 0.7500 0.6260 0.1241  4 Re 2.72-2.74, 4 Mo 2.72-2.73
Mo: 0.2500 0.8735 0.8735  8 Mo 2.72-2.73
Mo: 0.2500 0.8759 0.3740  4 Re 2.72-2.74, 4 Mo 2.72-2.73
Re: 0.2500 0.3765 0.3765  8 Mo 2.72-2.74
Re: 0.7500 0.6235 0.6235  8 Mo 2.72-2.74

Results
For the formation energy from the elements, the calculation gives 35 meV per atom. The value obtained for the calculated volume is 125 Å³/cell. For the mass density, the calculation gives 12.6 Mg/m³.


(4)
First-principles (PBE-GGA) data for crystalline PmPrTaN3 at its relaxed geometry, as listed in Alexandria via LeMat-Bulk.

a b c (Å): 3.6011 7.6570 8.0169
angles (deg): 95.55 90.00 90.00
Last column: nearest neighbours and their distance in Å.
Fractional coordinates of all 12 atoms:
Pm: 0.2500 0.6137 0.1646  3 N 2.33-2.50
Pm: 0.7500 0.3863 0.8354  3 N 2.33-2.50
Pr: 0.7500 0.8371 0.8482  5 N 2.47-2.75
Pr: 0.2500 0.1629 0.1518  5 N 2.47-2.75
Ta: 0.2500 0.1047 0.5991  4 N 1.96-2.18
Ta: 0.7500 0.8953 0.4009  4 N 1.96-2.18
N: 0.2500 0.8299 0.4961  3 Ta 2.04-2.18
N: 0.7500 0.8922 0.1565  1 Ta 1.96
N: 0.7500 0.3873 0.1263  3 Pm 2.33-2.50, 2 Pr 2.51
N: 0.7500 0.1701 0.5039  3 Ta 2.04-2.18
N: 0.2500 0.6127 0.8737  3 Pm 2.33-2.50, 2 Pr 2.51
N: 0.2500 0.1078 0.8435  1 Ta 1.96

Results
The value obtained for the calculated volume is 220 Å³/cell. For the mass density, the calculation gives 7.7 Mg/m³. The energy comes out at -52.5 eV per formula unit.


(5)
First-principles (PBE-GGA) data for crystalline TiFeNiP at its relaxed geometry, as listed in Alexandria via LeMat-Bulk.

a b c (Å): 3.8804 3.8804 11.5983
angles (deg): 90.00 90.00 120.00
Last column: nearest neighbours and their distance in Å.
Fractional coordinates of all 12 atoms:
Ti: 0.0000 0.0000 0.3293  1 Fe 2.37, 3 Ni 2.52, 3 P 2.56
Ti: 0.3333 0.6667 0.9959  1 Fe 2.37, 3 Ni 2.52, 3 P 2.56
Ti: 0.6667 0.3333 0.6626  1 Fe 2.37, 3 Ni 2.52, 3 P 2.56
Fe: 0.0000 0.0000 0.5333  3 P 2.26, 1 Ti 2.37
Fe: 0.3333 0.6667 0.2000  3 P 2.26, 1 Ti 2.37
Fe: 0.6667 0.3333 0.8666  3 P 2.26, 1 Ti 2.37
Ni: 0.0000 0.0000 0.0957  4 P 2.40-2.68, 3 Ti 2.52, 3 Fe 2.55
Ni: 0.3333 0.6667 0.7624  4 P 2.40-2.68, 3 Ti 2.52, 3 Fe 2.55
Ni: 0.6667 0.3333 0.4291  4 P 2.40-2.68, 3 Ti 2.52, 3 Fe 2.55
P: 0.0000 0.0000 0.8890  3 Fe 2.26, 1 Ni 2.40
P: 0.3333 0.6667 0.5557  3 Fe 2.26, 1 Ni 2.40
P: 0.6667 0.3333 0.2224  3 Fe 2.26, 1 Ni 2.40

Results
For the formation energy from the elements, the calculation gives -494 meV per atom. The value obtained for the calculated volume is 151 Å³/cell. For the mass density, the calculation gives 6.4 Mg/m³. As for the relative energy among the computed polymorphs: 113.5 meV per atom.


(6)
First-principles (PBE-GGA) data for crystalline Sm2Dy3ScS6 at its relaxed geometry, as listed in Alexandria via LeMat-Bulk.

a b c (Å): 3.9009 7.8565 8.7231
angles (deg): 102.92 102.92 90.00
Last column: nearest neighbours and their distance in Å.
Fractional coordinates of all 12 atoms:
Sm: 0.8334 0.6663 0.6669  6 S 2.80-2.81
Sm: 0.1666 0.3337 0.3331  6 S 2.80-2.81
Dy: 0.5000 0.5000 0.0000  6 S 2.72-2.83
Dy: 0.8306 0.1657 0.6612  6 S 2.73-2.80
Dy: 0.1694 0.8343 0.3388  6 S 2.73-2.80
Sc: 0.5000 0.0000 0.0000  6 S 2.67-2.71
S: 0.3386 0.9259 0.6773  1 Sc 2.67, 3 Dy 2.74-2.80, 2 Sm 2.81
S: 0.6642 0.5890 0.3284  3 Dy 2.72-2.73, 3 Sm 2.80
S: 0.6614 0.0741 0.3227  1 Sc 2.67, 3 Dy 2.74-2.80, 2 Sm 2.81
S: 0.9966 0.2382 0.9933  2 Sc 2.71, 3 Dy 2.75-2.83, 1 Sm 2.81
S: 0.0034 0.7618 0.0067  2 Sc 2.71, 3 Dy 2.75-2.83, 1 Sm 2.81
S: 0.3358 0.4110 0.6716  3 Dy 2.72-2.73, 3 Sm 2.80

Results
The value obtained for the calculated volume is 254 Å³/cell. For the mass density, the calculation gives 6.7 Mg/m³. The energy comes out at -77.9 eV per formula unit.